# 1
Compound: MgTcRuRh
Source: Alexandria via LeMat-Bulk
Functional: GGA-PBE
Structure: relaxed

a = 6.1901 Å, b = 6.1901 Å, c = 6.1901 Å
α = 90.00°, β = 90.00°, γ = 90.00°
Closest atoms and distances in Å follow each position.
Space group F-43m (No. 216)
Inequivalent atoms, fractional coordinates:
Mg 0.0000 0.0000 0.0000 [4 per cell]  4 Ru 2.68, 4 Rh 2.68
Tc 0.0000 0.0000 0.5000 [4 per cell]  4 Rh 2.68, 4 Ru 2.68
Ru 0.2500 0.2500 0.7500 [4 per cell]  4 Tc 2.68, 4 Mg 2.68
Rh 0.2500 0.2500 0.2500 [4 per cell]  4 Tc 2.68, 4 Mg 2.68

The formation energy is 0.2 eV per formula unit. The calculation puts the total DFT energy (no corrections) at -7.105 eV/atom. As for the total magnetization: 7.176 μB/cell.



# 2
Compound: Mg2TcRuRh
Source: Alexandria via LeMat-Bulk
Functional: GGA-PBE
Structure: relaxed

a = 4.7735 Å, b = 4.7735 Å, c = 4.6294 Å
α = 90.00°, β = 90.00°, γ = 90.00°
Closest atoms and distances in Å follow each position.
Space group P4/mmm (No. 123)
Inequivalent atoms, fractional coordinates:
Mg 0.0000 0.5000 0.0000 [2 per cell]  2 Ru 2.39
Tc 0.0000 0.0000 0.5000 [1 per cell]  8 Mg 3.32, 4 Rh 3.38
Ru 0.5000 0.5000 0.0000 [1 per cell]  2 Rh 2.31, 4 Mg 2.39
Rh 0.5000 0.5000 0.5000 [1 per cell]  2 Ru 2.31

The formation energy is 5.8 eV per formula unit. The calculation puts the total DFT energy (no corrections) at -4.879 eV/atom. As for the total magnetization: 3.534 μB/cell.



# 3
Compound: MgTe2RuRh
Source: Alexandria via LeMat-Bulk
Functional: GGA-PBE
Structure: relaxed

a = 5.1435 Å, b = 5.1435 Å, c = 4.7001 Å
α = 90.00°, β = 90.00°, γ = 90.00°
Closest atoms and distances in Å follow each position.
Space group P4/mmm (No. 123)
Inequivalent atoms, fractional coordinates:
Mg 0.0000 0.0000 0.0000 [1 per cell]  2 Rh 2.35
Te 0.0000 0.5000 0.5000 [2 per cell]  2 Rh 2.57
Ru 0.5000 0.5000 0.0000 [1 per cell]  8 Te 3.48, 4 Mg 3.64
Rh 0.0000 0.0000 0.5000 [1 per cell]  2 Mg 2.35, 4 Te 2.57

The calculation puts the total DFT energy (no corrections) at -4.213 eV/atom. The uncorrected formation energy is 688 meV per atom. As for the total magnetization: 2.143 μB/cell.